Record 1
Entry from Alexandria: TlSi2Au after structural relaxation (PBE).

The structure in CIF format:
```
data_TlSi2Au
_chemical_formula_sum 'Tl3 Si6 Au3'
_space_group_name_H-M_alt 'R -3 m'
_space_group_IT_number 166
_space_group_name_Hall '-R 3 2"'
_cell_length_a 4.1472
_cell_length_b 4.1472
_cell_length_c 18.2008
_cell_angle_alpha 90.00
_cell_angle_beta 90.00
_cell_angle_gamma 120.00
loop_
_atom_site_label
_atom_site_fract_x
_atom_site_fract_y
_atom_site_fract_z
Tl1 0.0000 0.0000 0.0000
Si1 0.0000 0.0000 0.2140
Au1 0.0000 0.0000 0.5000
```

VASP energy, eV/atom: -3.933

***

Record 2
Entry from Alexandria: ScTiTlSb2 after structural relaxation (PBE).

The structure in CIF format:
```
data_ScTiTlSb2
_chemical_formula_sum 'Sc1 Ti1 Tl1 Sb2'
_space_group_name_H-M_alt 'P 4/m m m'
_space_group_IT_number 123
_space_group_name_Hall '-P 4 2'
_cell_length_a 5.650
_cell_length_b 5.650
_cell_length_c 5.104
_cell_angle_alpha 90.00
_cell_angle_beta 90.00
_cell_angle_gamma 90.00
loop_
_atom_site_label
_atom_site_fract_x
_atom_site_fract_y
_atom_site_fract_z
Sc1 0.000 0.000 0.000
Ti1 0.500 0.500 0.000
Tl1 0.500 0.500 0.500
Sb1 0.000 0.500 0.500
```

VASP energy, eV/atom: -4.033

***

Record 3
Entry from Alexandria: Ce5Cu2Au5 after structural relaxation (PBE).

The structure in CIF format:
```
data_Ce5Cu2Au5
_chemical_formula_sum 'Ce10 Cu4 Au10'
_space_group_name_H-M_alt 'C 1 2/m 1'
_space_group_IT_number 12
_cell_length_a 15.883
_cell_length_b 4.354
_cell_length_c 10.975
_cell_angle_alpha 90.00
_cell_angle_beta 131.52
_cell_angle_gamma 90.00
loop_
_space_group_symop_operation_xyz
'x,y,z'
'-x,-y,-z'
'-x,y,-z'
'x,-y,z'
'x+1/2,y+1/2,z'
'-x+1/2,-y+1/2,-z'
'-x+1/2,y+1/2,-z'
'x+1/2,-y+1/2,z'
loop_
_atom_site_label
_atom_site_fract_x
_atom_site_fract_y
_atom_site_fract_z
Ce1 0.000 0.000 0.000
Ce2 0.101 0.000 0.408
Ce3 0.192 0.000 0.810
Cu1 0.142 0.500 0.258
Au1 0.000 0.500 0.500
Au2 0.070 0.500 0.859
Au3 0.241 0.500 0.668
```

VASP energy, eV/atom: -5.022
Formation enthalpy at 0 K, eV/atom: -0.501